CaLa3Pb5 | PBE | optimized geometry Values from VASP.

## Properties
Size of the total moment: 0.000 μB/f.u.
Energy relative to the elements: -0.52 eV/atom
Space group: P6_3/mcm

```
&SYSTEM
  ibrav = 0, nat = 18, ntyp = 3
/
ATOMIC_SPECIES
Ca 40.08 Ca.upf
La 138.91 La.upf
Pb 207.20 Pb.upf
CELL_PARAMETERS angstrom
9.8290 0.0000 0.0000
-4.9145 8.5121 0.0000
0.0000 0.0000 6.8319
ATOMIC_POSITIONS angstrom
Ca 0.0000 0.0000 0.0000
Ca 0.0000 0.0000 3.4160
La -1.8515 3.2069 1.7080
La -3.0630 5.3053 5.1239
La 3.7030 0.0000 1.7080
La 1.8515 3.2069 5.1239
La 6.1260 0.0000 5.1239
La 3.0630 5.3053 1.7080
Pb -1.4391 2.4926 5.1239
Pb -3.4754 6.0195 1.7080
Pb 2.8782 0.0000 5.1239
Pb 1.4391 2.4926 1.7080
Pb 0.0000 5.6748 0.0000
Pb 0.0000 5.6748 3.4160
Pb 4.9145 2.8374 0.0000
Pb 4.9145 2.8374 3.4160
Pb 6.9508 0.0000 1.7080
Pb 3.4754 6.0195 5.1239
```